# 1
Here is an optimized crystal structure of Sm7Ho12Tl from the Alexandria database. Energies are from PBE-GGA.

Computed properties:
N(E_F), states/eV/atom: 1.401
Calculated formation energy, eV/atom: 0.00
DFT total energy, eV/cell: -90.392
Crystal system: triclinic
Space group: P-1

The structure in CIF format:
```
data_Sm7Ho12Tl
_chemical_formula_sum 'Sm7 Ho12 Tl1'
_symmetry_space_group_name_H-M 'P 1'
_symmetry_Int_Tables_number 1
_cell_length_a 6.1488
_cell_length_b 11.1763
_cell_length_c 9.3808
_cell_angle_alpha 83.15
_cell_angle_beta 89.96
_cell_angle_gamma 100.32
loop_
_symmetry_equiv_pos_as_xyz
'x,y,z'
loop_
_atom_site_label
_atom_site_type_symbol
_atom_site_fract_x
_atom_site_fract_y
_atom_site_fract_z
_atom_site_occupancy
Sm1 Sm 0.3485 0.5533 0.8525 1
Sm2 Sm 0.2530 0.2486 0.7538 1
Sm3 Sm 0.2956 0.8997 0.3015 1
Sm4 Sm 0.5000 0.5000 0.5000 1
Sm5 Sm 0.7044 0.1003 0.6985 1
Sm6 Sm 0.7470 0.7514 0.2462 1
Sm7 Sm 0.6515 0.4467 0.1475 1
Ho1 Ho 0.7996 0.4025 0.8006 1
Ho2 Ho 0.5550 0.1461 0.0499 1
Ho3 Ho 0.4054 0.1981 0.4032 1
Ho4 Ho 0.0481 0.6528 0.5511 1
Ho5 Ho 0.1505 0.9505 0.6515 1
Ho6 Ho 0.8995 0.7063 0.8995 1
Ho7 Ho 0.1005 0.2937 0.1005 1
Ho8 Ho 0.8495 0.0495 0.3485 1
Ho9 Ho 0.9519 0.3472 0.4489 1
Ho10 Ho 0.5946 0.8019 0.5968 1
Ho11 Ho 0.4450 0.8539 0.9501 1
Ho12 Ho 0.2004 0.5975 0.1994 1
Tl1 Tl 0.0000 0.0000 0.0000 1
```

---

# 2
Here is an optimized crystal structure of Sm5HoTl2 from the Alexandria database. Energies are from PBE-GGA.

Computed properties:
N(E_F), states/eV/atom: 1.387
Calculated formation energy, eV/atom: -0.10
DFT total energy, eV/cell: -33.728
Crystal system: orthorhombic
Space group: Immm

The structure in CIF format:
```
data_Sm5HoTl2
_chemical_formula_sum 'Sm5 Ho1 Tl2'
_symmetry_space_group_name_H-M 'P 1'
_symmetry_Int_Tables_number 1
_cell_length_a 3.6606
_cell_length_b 8.4996
_cell_length_c 8.4996
_cell_angle_alpha 79.69
_cell_angle_beta 77.56
_cell_angle_gamma 77.56
loop_
_symmetry_equiv_pos_as_xyz
'x,y,z'
loop_
_atom_site_label
_atom_site_type_symbol
_atom_site_fract_x
_atom_site_fract_y
_atom_site_fract_z
_atom_site_occupancy
Sm1 Sm 0.0000 0.5000 0.5000 1
Sm2 Sm 0.6366 0.5866 0.1402 1
Sm3 Sm 0.3634 0.4134 0.8598 1
Sm4 Sm 0.3634 0.8598 0.4134 1
Sm5 Sm 0.6366 0.1402 0.5866 1
Ho1 Ho 0.0000 0.0000 0.0000 1
Tl1 Tl 0.7271 0.7729 0.7729 1
Tl2 Tl 0.2729 0.2271 0.2271 1
```

---

# 3
Here is an optimized crystal structure of SmHoTl from the Alexandria database. Energies are from PBE-GGA.

Computed properties:
N(E_F), states/eV/atom: 1.246
Calculated formation energy, eV/atom: -0.22
DFT total energy, eV/cell: -12.330
Crystal system: tetragonal
Space group: I4mm

The structure in CIF format:
```
data_SmHoTl
_chemical_formula_sum 'Sm1 Ho1 Tl1'
_symmetry_space_group_name_H-M 'P 1'
_symmetry_Int_Tables_number 1
_cell_length_a 3.6222
_cell_length_b 3.6222
_cell_length_c 7.3164
_cell_angle_alpha 104.33
_cell_angle_beta 104.33
_cell_angle_gamma 90.00
loop_
_symmetry_equiv_pos_as_xyz
'x,y,z'
loop_
_atom_site_label
_atom_site_type_symbol
_atom_site_fract_x
_atom_site_fract_y
_atom_site_fract_z
_atom_site_occupancy
Tl1 Tl 0.9532 0.9532 0.9064 1
Ho1 Ho 0.6049 0.6049 0.2098 1
Sm1 Sm 0.2919 0.2919 0.5838 1
```

---

# 4
Here is an optimized crystal structure of Sm8HoTl6 from the Alexandria database. Energies are from PBE-GGA.

Computed properties:
N(E_F), states/eV/atom: 1.559
Calculated formation energy, eV/atom: -0.15
DFT total energy, eV/cell: -58.827
Crystal system: trigonal
Space group: R-3

The structure in CIF format:
```
data_Sm8HoTl6
_chemical_formula_sum 'Sm8 Ho1 Tl6'
_symmetry_space_group_name_H-M 'P 1'
_symmetry_Int_Tables_number 1
_cell_length_a 9.2531
_cell_length_b 9.2531
_cell_length_c 8.4786
_cell_angle_alpha 56.93
_cell_angle_beta 56.93
_cell_angle_gamma 60.00
loop_
_symmetry_equiv_pos_as_xyz
'x,y,z'
loop_
_atom_site_label
_atom_site_type_symbol
_atom_site_fract_x
_atom_site_fract_y
_atom_site_fract_z
_atom_site_occupancy
Sm1 Sm 0.5545 0.2242 0.3309 1
Sm2 Sm 0.7758 0.1096 0.6691 1
Sm3 Sm 0.1096 0.4455 0.6691 1
Sm4 Sm 0.6659 0.6659 0.0024 1
Sm5 Sm 0.3341 0.3341 0.9976 1
Sm6 Sm 0.8904 0.5545 0.3309 1
Sm7 Sm 0.2242 0.8904 0.3309 1
Sm8 Sm 0.4455 0.7758 0.6691 1
Ho1 Ho 0.0000 0.0000 0.0000 1
Tl1 Tl 0.3891 0.0605 0.8185 1
Tl2 Tl 0.9395 0.2680 0.1815 1
Tl3 Tl 0.2680 0.6109 0.1815 1
Tl4 Tl 0.7320 0.3891 0.8185 1
Tl5 Tl 0.0605 0.7320 0.8185 1
Tl6 Tl 0.6109 0.9395 0.1815 1
```

---

# 5
Here is an optimized crystal structure of Sm14HoTl from the Alexandria database. Energies are from PBE-GGA.

Computed properties:
N(E_F), states/eV/atom: 1.335
Calculated formation energy, eV/atom: -0.02
DFT total energy, eV/cell: -73.317
Crystal system: tetragonal
Space group: P4/mmm

The structure in CIF format:
```
data_Sm14HoTl
_chemical_formula_sum 'Sm14 Ho1 Tl1'
_symmetry_space_group_name_H-M 'P 1'
_symmetry_Int_Tables_number 1
_cell_length_a 7.1638
_cell_length_b 7.1638
_cell_length_c 10.2047
_cell_angle_alpha 90.00
_cell_angle_beta 90.00
_cell_angle_gamma 90.01
loop_
_symmetry_equiv_pos_as_xyz
'x,y,z'
loop_
_atom_site_label
_atom_site_type_symbol
_atom_site_fract_x
_atom_site_fract_y
_atom_site_fract_z
_atom_site_occupancy
Sm1 Sm 0.3752 0.6248 0.5000 1
Sm2 Sm 0.8748 0.1252 0.5000 1
Sm3 Sm 0.8749 0.6249 0.0000 1
Sm4 Sm 0.8752 0.6253 0.5000 1
Sm5 Sm 0.3751 0.1251 0.0000 1
Sm6 Sm 0.3747 0.1248 0.5000 1
Sm7 Sm 0.6253 0.8753 0.7537 1
Sm8 Sm 0.6253 0.8753 0.2463 1
Sm9 Sm 0.1247 0.3747 0.7537 1
Sm10 Sm 0.1247 0.3747 0.2463 1
Sm11 Sm 0.1248 0.8752 0.7537 1
Sm12 Sm 0.1248 0.8752 0.2463 1
Sm13 Sm 0.6252 0.3748 0.7536 1
Sm14 Sm 0.6252 0.3748 0.2464 1
Ho1 Ho 0.3750 0.6250 0.0000 1
Tl1 Tl 0.8752 0.1248 0.0000 1
```

---

# 6
Here is an optimized crystal structure of SmHo6Tl2 from the Alexandria database. Energies are from PBE-GGA.

Computed properties:
N(E_F), states/eV/atom: 1.160
Calculated formation energy, eV/atom: 0.57
DFT total energy, eV/cell: -31.814
Crystal system: tetragonal
Space group: I-42m

The structure in CIF format:
```
data_SmHo6Tl2
_chemical_formula_sum 'Sm1 Ho6 Tl2'
_symmetry_space_group_name_H-M 'P 1'
_symmetry_Int_Tables_number 1
_cell_length_a 5.6373
_cell_length_b 5.6373
_cell_length_c 11.1490
_cell_angle_alpha 104.64
_cell_angle_beta 104.64
_cell_angle_gamma 90.00
loop_
_symmetry_equiv_pos_as_xyz
'x,y,z'
loop_
_atom_site_label
_atom_site_type_symbol
_atom_site_fract_x
_atom_site_fract_y
_atom_site_fract_z
_atom_site_occupancy
Sm1 Sm 0.5000 0.5000 0.0000 1
Ho1 Ho 0.8752 0.2591 0.1344 1
Ho2 Ho 0.7409 0.7409 0.8656 1
Ho3 Ho 0.2591 0.8752 0.1344 1
Ho4 Ho 0.1248 0.1248 0.8656 1
Ho5 Ho 0.7500 0.2500 0.5000 1
Ho6 Ho 0.2500 0.7500 0.5000 1
Tl1 Tl 0.1919 0.1919 0.3837 1
Tl2 Tl 0.8081 0.8081 0.6163 1
```

---

Please write out number 1 again, unchanged.
Here is an optimized crystal structure of Sm7Ho12Tl from the Alexandria database. Energies are from PBE-GGA.

Computed properties:
N(E_F), states/eV/atom: 1.401
Calculated formation energy, eV/atom: 0.00
DFT total energy, eV/cell: -90.392
Crystal system: triclinic
Space group: P-1

The structure in CIF format:
```
data_Sm7Ho12Tl
_chemical_formula_sum 'Sm7 Ho12 Tl1'
_symmetry_space_group_name_H-M 'P 1'
_symmetry_Int_Tables_number 1
_cell_length_a 6.1488
_cell_length_b 11.1763
_cell_length_c 9.3808
_cell_angle_alpha 83.15
_cell_angle_beta 89.96
_cell_angle_gamma 100.32
loop_
_symmetry_equiv_pos_as_xyz
'x,y,z'
loop_
_atom_site_label
_atom_site_type_symbol
_atom_site_fract_x
_atom_site_fract_y
_atom_site_fract_z
_atom_site_occupancy
Sm1 Sm 0.3485 0.5533 0.8525 1
Sm2 Sm 0.2530 0.2486 0.7538 1
Sm3 Sm 0.2956 0.8997 0.3015 1
Sm4 Sm 0.5000 0.5000 0.5000 1
Sm5 Sm 0.7044 0.1003 0.6985 1
Sm6 Sm 0.7470 0.7514 0.2462 1
Sm7 Sm 0.6515 0.4467 0.1475 1
Ho1 Ho 0.7996 0.4025 0.8006 1
Ho2 Ho 0.5550 0.1461 0.0499 1
Ho3 Ho 0.4054 0.1981 0.4032 1
Ho4 Ho 0.0481 0.6528 0.5511 1
Ho5 Ho 0.1505 0.9505 0.6515 1
Ho6 Ho 0.8995 0.7063 0.8995 1
Ho7 Ho 0.1005 0.2937 0.1005 1
Ho8 Ho 0.8495 0.0495 0.3485 1
Ho9 Ho 0.9519 0.3472 0.4489 1
Ho10 Ho 0.5946 0.8019 0.5968 1
Ho11 Ho 0.4450 0.8539 0.9501 1
Ho12 Ho 0.2004 0.5975 0.1994 1
Tl1 Tl 0.0000 0.0000 0.0000 1
```